[1]
The following is a DFT calculation (GGA-PBE) of crystalline SrMgSeN2 at its relaxed geometry.

a b c (Å): 4.3471 4.3471 5.2882
angles (deg): 90.00 90.00 90.00
Atoms (fractional coordinates):
Sr 0.0000 0.0000 0.0000
Mg 0.5000 0.5000 0.5000
Se 0.5000 0.5000 0.0000
N 0.0000 0.5000 0.5000
N 0.5000 0.0000 0.5000

Formation energy from raw total energies, eV per atom: 0.26
D(E_F), states/eV/atom: 0.386
Total moment, μB per cell: 4.0
ΔE to the lowest computed polymorph, eV per formula unit: 0.00



[2]
The following is a DFT calculation (GGA-PBE) of crystalline MgTaSe2N at its relaxed geometry.

a b c (Å): 4.9829 4.9829 3.7945
angles (deg): 90.00 90.00 90.00
Atoms (fractional coordinates):
Mg 0.0000 0.0000 0.0000
Ta 0.5000 0.5000 0.5000
Se 0.0000 0.5000 0.0000
Se 0.5000 0.0000 0.0000
N 0.0000 0.0000 0.5000

Formation energy from raw total energies, eV per atom: 0.83
D(E_F), states/eV/atom: 0.640
Total moment, μB per cell: 0.1
ΔE to the lowest computed polymorph, eV per formula unit: 5.86



[3]
The following is a DFT calculation (GGA-PBE) of crystalline MgTaSe2N at its relaxed geometry.

a b c (Å): 5.1905 5.1905 3.8924
angles (deg): 90.00 90.00 90.00
Atoms (fractional coordinates):
Mg 0.0000 0.0000 0.0000
Ta 0.5000 0.5000 0.5000
Se 0.0000 0.5000 0.5000
Se 0.5000 0.0000 0.5000
N 0.5000 0.5000 0.0000

Formation energy from raw total energies, eV per atom: -0.34
D(E_F), states/eV/atom: 0.320
Total moment, μB per cell: 0.0
ΔE to the lowest computed polymorph, eV per formula unit: 0.00